(1)
# TbDy5Sc4 PBE optimized geometry
data_TbDy5Sc4
_space_group_name_H-M_alt 'P 1'
_space_group_IT_number 1
_cell_length_a 8.761
_cell_length_b 8.761
_cell_length_c 7.668
_cell_angle_alpha 90.00
_cell_angle_beta 90.00
_cell_angle_gamma 90.00
loop_
_space_group_symop_operation_xyz
'x,y,z'
loop_
_atom_site_label
_atom_site_type_symbol
_atom_site_fract_x
_atom_site_fract_y
_atom_site_fract_z
Tb1 Tb 0.250 0.250 0.123
Tb2 Tb 0.750 0.750 0.877
Dy1 Dy 0.058 0.058 0.800
Dy2 Dy 0.058 0.442 0.800
Dy3 Dy 0.250 0.750 0.000
Dy4 Dy 0.442 0.058 0.800
Dy5 Dy 0.442 0.442 0.800
Dy6 Dy 0.558 0.558 0.200
Dy7 Dy 0.558 0.942 0.200
Dy8 Dy 0.750 0.250 0.000
Dy9 Dy 0.942 0.558 0.200
Dy10 Dy 0.942 0.942 0.200
Sc1 Sc 0.020 0.750 0.588
Sc2 Sc 0.250 0.520 0.412
Sc3 Sc 0.250 0.980 0.412
Sc4 Sc 0.480 0.750 0.588
Sc5 Sc 0.520 0.250 0.412
Sc6 Sc 0.750 0.020 0.588
Sc7 Sc 0.750 0.480 0.588
Sc8 Sc 0.980 0.250 0.412
# offset from the most stable computed form	0.115	eV/atom
# symmetry	No. 129
# formation energy	0.16	eV per atom
# total DFT energy (no corrections)	-5.135	eV/atom

=====

(2)
# Tb2DySc PBE optimized geometry
data_Tb2DySc
_space_group_name_H-M_alt 'P 1'
_space_group_IT_number 1
_cell_length_a 4.928
_cell_length_b 4.928
_cell_length_c 4.910
_cell_angle_alpha 90.00
_cell_angle_beta 90.00
_cell_angle_gamma 90.00
loop_
_space_group_symop_operation_xyz
'x,y,z'
loop_
_atom_site_label
_atom_site_type_symbol
_atom_site_fract_x
_atom_site_fract_y
_atom_site_fract_z
Tb1 Tb 0.000 0.500 0.000
Tb2 Tb 0.500 0.000 0.000
Dy1 Dy 0.000 0.000 0.500
Sc1 Sc 0.500 0.500 0.500
# offset from the most stable computed form	0.006	eV/atom
# symmetry	No. 123
# formation energy	0.04	eV per atom
# total DFT energy (no corrections)	-5.009	eV/atom

=====

(3)
# Tb3Dy6Sc PBE optimized geometry
data_Tb3Dy6Sc
_space_group_name_H-M_alt 'P 1'
_space_group_IT_number 1
_cell_length_a 10.872
_cell_length_b 10.872
_cell_length_c 6.160
_cell_angle_alpha 90.00
_cell_angle_beta 90.00
_cell_angle_gamma 120.08
loop_
_space_group_symop_operation_xyz
'x,y,z'
loop_
_atom_site_label
_atom_site_type_symbol
_atom_site_fract_x
_atom_site_fract_y
_atom_site_fract_z
Tb1 Tb 0.112 0.888 0.500
Tb2 Tb 0.223 0.445 0.113
Tb3 Tb 0.445 0.223 0.613
Tb4 Tb 0.555 0.777 0.113
Tb5 Tb 0.777 0.555 0.613
Tb6 Tb 0.888 0.112 0.000
Dy1 Dy 0.033 0.453 0.710
Dy2 Dy 0.119 0.211 0.528
Dy3 Dy 0.211 0.119 0.028
Dy4 Dy 0.222 0.778 0.927
Dy5 Dy 0.453 0.033 0.210
Dy6 Dy 0.453 0.547 0.650
Dy7 Dy 0.547 0.453 0.150
Dy8 Dy 0.547 0.967 0.710
Dy9 Dy 0.778 0.222 0.427
Dy10 Dy 0.789 0.881 0.528
Dy11 Dy 0.881 0.789 0.028
Dy12 Dy 0.967 0.547 0.210
Sc1 Sc 0.295 0.705 0.438
Sc2 Sc 0.705 0.295 0.938
# offset from the most stable computed form	0.000	eV/atom
# symmetry	No. 36
# formation energy	0.14	eV per atom
# total DFT energy (no corrections)	-4.640	eV/atom

=====

(4)
# Tb8Dy3Sc4 PBE optimized geometry
data_Tb8Dy3Sc4
_space_group_name_H-M_alt 'P 1'
_space_group_IT_number 1
_cell_length_a 8.815
_cell_length_b 8.815
_cell_length_c 6.604
_cell_angle_alpha 108.84
_cell_angle_beta 108.84
_cell_angle_gamma 84.45
loop_
_space_group_symop_operation_xyz
'x,y,z'
loop_
_atom_site_label
_atom_site_type_symbol
_atom_site_fract_x
_atom_site_fract_y
_atom_site_fract_z
Tb1 Tb 0.203 0.203 0.163
Tb2 Tb 0.206 0.794 0.000
Tb3 Tb 0.261 0.739 0.500
Tb4 Tb 0.267 0.267 0.694
Tb5 Tb 0.733 0.733 0.306
Tb6 Tb 0.739 0.261 0.500
Tb7 Tb 0.794 0.206 0.000
Tb8 Tb 0.797 0.797 0.837
Dy1 Dy 0.000 0.000 0.500
Dy2 Dy 0.000 0.500 0.000
Dy3 Dy 0.500 0.000 0.000
Sc1 Sc 0.000 0.500 0.500
Sc2 Sc 0.500 0.000 0.500
Sc3 Sc 0.500 0.500 0.000
Sc4 Sc 0.500 0.500 0.500
# symmetry	No. 12
# formation energy	0.38	eV per atom
# total DFT energy (no corrections)	-4.699	eV/atom

=====

(5)
# Tb2Dy7Sc3 PBE optimized geometry
data_Tb2Dy7Sc3
_space_group_name_H-M_alt 'P 1'
_space_group_IT_number 1
_cell_length_a 18.545
_cell_length_b 18.545
_cell_length_c 3.520
_cell_angle_alpha 90.00
_cell_angle_beta 90.00
_cell_angle_gamma 162.44
loop_
_space_group_symop_operation_xyz
'x,y,z'
loop_
_atom_site_label
_atom_site_type_symbol
_atom_site_fract_x
_atom_site_fract_y
_atom_site_fract_z
Tb1 Tb 0.175 0.825 0.000
Tb2 Tb 0.825 0.175 0.000
Dy1 Dy 0.000 0.000 0.000
Dy2 Dy 0.091 0.909 0.500
Dy3 Dy 0.272 0.728 0.000
Dy4 Dy 0.429 0.571 0.000
Dy5 Dy 0.571 0.429 0.000
Dy6 Dy 0.728 0.272 0.000
Dy7 Dy 0.909 0.091 0.500
Sc1 Sc 0.351 0.649 0.500
Sc2 Sc 0.500 0.500 0.500
Sc3 Sc 0.649 0.351 0.500
# symmetry	No. 65
# formation energy	0.15	eV per atom
# total DFT energy (no corrections)	-4.888	eV/atom

=====

(6)
# TbDySc2 PBE optimized geometry
data_TbDySc2
_space_group_name_H-M_alt 'P 1'
_space_group_IT_number 1
_cell_length_a 3.466
_cell_length_b 3.466
_cell_length_c 9.300
_cell_angle_alpha 90.00
_cell_angle_beta 90.00
_cell_angle_gamma 90.00
loop_
_space_group_symop_operation_xyz
'x,y,z'
loop_
_atom_site_label
_atom_site_type_symbol
_atom_site_fract_x
_atom_site_fract_y
_atom_site_fract_z
Tb1 Tb 0.000 0.000 0.000
Dy1 Dy 0.000 0.000 0.500
Sc1 Sc 0.500 0.500 0.251
Sc2 Sc 0.500 0.500 0.749
# offset from the most stable computed form	0.006	eV/atom
# symmetry	No. 123
# formation energy	0.05	eV per atom
# total DFT energy (no corrections)	-5.424	eV/atom

=====

(7)
# Tb3Dy7Sc PBE optimized geometry
data_Tb3Dy7Sc
_space_group_name_H-M_alt 'P 1'
_space_group_IT_number 1
_cell_length_a 9.740
_cell_length_b 9.740
_cell_length_c 11.095
_cell_angle_alpha 90.04
_cell_angle_beta 90.04
_cell_angle_gamma 138.52
loop_
_space_group_symop_operation_xyz
'x,y,z'
loop_
_atom_site_label
_atom_site_type_symbol
_atom_site_fract_x
_atom_site_fract_y
_atom_site_fract_z
Tb1 Tb 0.000 0.000 0.000
Tb2 Tb 0.249 0.750 0.750
Tb3 Tb 0.250 0.751 0.250
Tb4 Tb 0.500 0.500 0.500
Tb5 Tb 0.750 0.249 0.750
Tb6 Tb 0.751 0.250 0.250
Dy1 Dy 0.088 0.408 0.528
Dy2 Dy 0.092 0.412 0.972
Dy3 Dy 0.165 0.337 0.250
Dy4 Dy 0.249 0.249 0.750
Dy5 Dy 0.337 0.165 0.250
Dy6 Dy 0.408 0.088 0.528
Dy7 Dy 0.412 0.092 0.972
Dy8 Dy 0.588 0.908 0.028
Dy9 Dy 0.592 0.912 0.472
Dy10 Dy 0.663 0.835 0.750
Dy11 Dy 0.751 0.751 0.250
Dy12 Dy 0.835 0.663 0.750
Dy13 Dy 0.908 0.588 0.028
Dy14 Dy 0.912 0.592 0.472
Sc1 Sc 0.000 0.000 0.500
Sc2 Sc 0.500 0.500 0.000
# offset from the most stable computed form	0.000	eV/atom
# symmetry	No. 12
# formation energy	0.15	eV per atom
# total DFT energy (no corrections)	-4.615	eV/atom

=====

(8)
# Tb4Dy7Sc PBE optimized geometry
data_Tb4Dy7Sc
_space_group_name_H-M_alt 'P 1'
_space_group_IT_number 1
_cell_length_a 6.613
_cell_length_b 6.613
_cell_length_c 12.713
_cell_angle_alpha 114.68
_cell_angle_beta 114.68
_cell_angle_gamma 51.89
loop_
_space_group_symop_operation_xyz
'x,y,z'
loop_
_atom_site_label
_atom_site_type_symbol
_atom_site_fract_x
_atom_site_fract_y
_atom_site_fract_z
Tb1 Tb 0.140 0.140 0.275
Tb2 Tb 0.290 0.290 0.837
Tb3 Tb 0.710 0.710 0.163
Tb4 Tb 0.860 0.860 0.725
Dy1 Dy 0.000 0.000 0.500
Dy2 Dy 0.132 0.132 0.992
Dy3 Dy 0.293 0.293 0.575
Dy4 Dy 0.424 0.424 0.201
Dy5 Dy 0.576 0.576 0.799
Dy6 Dy 0.707 0.707 0.425
Dy7 Dy 0.868 0.868 0.008
Sc1 Sc 0.500 0.500 0.500
# offset from the most stable computed form	0.274	eV/atom
# symmetry	No. 12
# formation energy	0.28	eV per atom
# total DFT energy (no corrections)	-4.475	eV/atom

=====

(9)
# TbDy5Sc3 PBE optimized geometry
data_TbDy5Sc3
_space_group_name_H-M_alt 'P 1'
_space_group_IT_number 1
_cell_length_a 9.164
_cell_length_b 9.164
_cell_length_c 9.536
_cell_angle_alpha 120.42
_cell_angle_beta 120.42
_cell_angle_gamma 74.93
loop_
_space_group_symop_operation_xyz
'x,y,z'
loop_
_atom_site_label
_atom_site_type_symbol
_atom_site_fract_x
_atom_site_fract_y
_atom_site_fract_z
Tb1 Tb 0.246 0.246 0.094
Tb2 Tb 0.754 0.754 0.906
Dy1 Dy 0.110 0.615 0.759
Dy2 Dy 0.223 0.223 0.734
Dy3 Dy 0.244 0.756 0.500
Dy4 Dy 0.281 0.281 0.465
Dy5 Dy 0.385 0.890 0.241
Dy6 Dy 0.615 0.110 0.759
Dy7 Dy 0.719 0.719 0.535
Dy8 Dy 0.756 0.244 0.500
Dy9 Dy 0.777 0.777 0.266
Dy10 Dy 0.890 0.385 0.241
Sc1 Sc 0.000 0.000 0.000
Sc2 Sc 0.011 0.011 0.320
Sc3 Sc 0.480 0.480 0.137
Sc4 Sc 0.500 0.500 0.500
Sc5 Sc 0.520 0.520 0.863
Sc6 Sc 0.989 0.989 0.680
# symmetry	No. 12
# formation energy	0.47	eV per atom
# total DFT energy (no corrections)	-4.708	eV/atom

=====

(10)
# Tb5DySc PBE optimized geometry
data_Tb5DySc
_space_group_name_H-M_alt 'P 1'
_space_group_IT_number 1
_cell_length_a 6.159
_cell_length_b 6.159
_cell_length_c 12.910
_cell_angle_alpha 94.32
_cell_angle_beta 94.32
_cell_angle_gamma 64.54
loop_
_space_group_symop_operation_xyz
'x,y,z'
loop_
_atom_site_label
_atom_site_type_symbol
_atom_site_fract_x
_atom_site_fract_y
_atom_site_fract_z
Tb1 Tb 0.194 0.806 0.750
Tb2 Tb 0.207 0.300 0.655
Tb3 Tb 0.289 0.374 0.920
Tb4 Tb 0.300 0.207 0.155
Tb5 Tb 0.374 0.289 0.420
Tb6 Tb 0.626 0.711 0.580
Tb7 Tb 0.700 0.793 0.845
Tb8 Tb 0.711 0.626 0.080
Tb9 Tb 0.793 0.700 0.345
Tb10 Tb 0.806 0.194 0.250
Dy1 Dy 0.272 0.728 0.250
Dy2 Dy 0.728 0.272 0.750
Sc1 Sc 0.000 0.000 0.000
Sc2 Sc 0.000 0.000 0.500
# offset from the most stable computed form	0.000	eV/atom
# symmetry	No. 15
# formation energy	0.20	eV per atom
# total DFT energy (no corrections)	-4.669	eV/atom

=====

(11)
# Tb4Dy7Sc PBE optimized geometry
data_Tb4Dy7Sc
_space_group_name_H-M_alt 'P 1'
_space_group_IT_number 1
_cell_length_a 6.154
_cell_length_b 7.116
_cell_length_c 8.761
_cell_angle_alpha 78.25
_cell_angle_beta 83.31
_cell_angle_gamma 90.00
loop_
_space_group_symop_operation_xyz
'x,y,z'
loop_
_atom_site_label
_atom_site_type_symbol
_atom_site_fract_x
_atom_site_fract_y
_atom_site_fract_z
Tb1 Tb 0.000 0.000 0.000
Tb2 Tb 0.106 0.665 0.336
Tb3 Tb 0.502 0.254 0.996
Tb4 Tb 0.611 0.914 0.338
Dy1 Dy 0.112 0.168 0.333
Dy2 Dy 0.220 0.335 0.667
Dy3 Dy 0.221 0.831 0.667
Dy4 Dy 0.499 0.749 0.996
Dy5 Dy 0.611 0.418 0.338
Dy6 Dy 0.723 0.083 0.668
Dy7 Dy 0.995 0.502 0.997
Sc1 Sc 0.721 0.583 0.667
# offset from the most stable computed form	0.000	eV/atom
# symmetry	No. 1
# formation energy	0.01	eV per atom
# total DFT energy (no corrections)	-4.748	eV/atom

=====

(12)
# Tb9DySc2 PBE optimized geometry
data_Tb9DySc2
_space_group_name_H-M_alt 'P 1'
_space_group_IT_number 1
_cell_length_a 4.968
_cell_length_b 4.968
_cell_length_c 14.867
_cell_angle_alpha 90.00
_cell_angle_beta 90.00
_cell_angle_gamma 90.00
loop_
_space_group_symop_operation_xyz
'x,y,z'
loop_
_atom_site_label
_atom_site_type_symbol
_atom_site_fract_x
_atom_site_fract_y
_atom_site_fract_z
Tb1 Tb 0.000 0.000 0.000
Tb2 Tb 0.000 0.000 0.336
Tb3 Tb 0.000 0.000 0.664
Tb4 Tb 0.000 0.500 0.171
Tb5 Tb 0.000 0.500 0.500
Tb6 Tb 0.000 0.500 0.829
Tb7 Tb 0.500 0.000 0.171
Tb8 Tb 0.500 0.000 0.500
Tb9 Tb 0.500 0.000 0.829
Dy1 Dy 0.500 0.500 0.000
Sc1 Sc 0.500 0.500 0.335
Sc2 Sc 0.500 0.500 0.665
# symmetry	No. 123
# formation energy	0.03	eV per atom
# total DFT energy (no corrections)	-4.878	eV/atom

=====

In the order shown, the computed DOS at the Fermi energy values come out to 1.23 1.53 1.42 1.64 1.83 1.61 1.48 1.71 1.45 1.47 1.36 1.51 states/eV/atom.